Record 1
## ReGeNO (PBE-GGA)

Data for a relaxed structure of ReGeNO.

For the total energy, the calculation gives -7.60 eV/atom. The polymorph energy (0 for the lowest one) comes out at 251 meV/atom. As for the mass density: 10.27 g/cm3.

The space group is Pmc2_1 (No. 26) and the conventional cell measures 3.0600, 5.8732 and 5.1978 Å, with angles of 90.00, 90.00 and 90.00 degrees. The asymmetric unit holds Re at (0.0000, 0.0896, 0.0000), Ge at (0.5000, 0.2677, 0.5441), N at (0.0000, 0.2642, 0.3357) and O at (0.5000, 0.3360, 0.8963).

Record 2
## Y2LuIn3Ir2 (PBE-GGA)

Data for a relaxed structure of Y2LuIn3Ir2.

For the total energy, the calculation gives -6.07 eV/atom. As for the mass density: 9.86 g/cm3.

The space group is Amm2 (No. 38) and the conventional cell measures 3.6472, 13.1433 and 7.6016 Å, with angles of 90.00, 90.00 and 90.00 degrees. The asymmetric unit holds Y at (0.0000, 0.2104, 0.0000), Lu at (0.0000, 0.0000, 0.6328), In at (0.5000, 0.0000, 0.9732), In at (0.5000, 0.1169, 0.3285) and Ir at (0.5000, 0.1621, 0.7077).

Record 3
## PrDyGa (PBE-GGA)

Data for a relaxed structure of PrDyGa.

For the total energy, the calculation gives -4.37 eV/atom. The polymorph energy (0 for the lowest one) comes out at 0 meV/atom. As for the mass density: 6.84 g/cm3.

The space group is F-43m (No. 216) and the conventional cell measures 7.1279, 7.1279 and 7.1279 Å, with angles of 90.00, 90.00 and 90.00 degrees. The asymmetric unit holds Pr at (0.0000, 0.0000, 0.0000), Dy at (0.0000, 0.0000, 0.5000) and Ga at (0.2500, 0.2500, 0.7500).

Record 4
## K2RbHfBr6 (PBE-GGA)

Data for a relaxed structure of K2RbHfBr6.

For the total energy, the calculation gives -3.75 eV/atom. As for the mass density: 3.37 g/cm3.

The space group is Fm-3m (No. 225) and the conventional cell measures 11.7477, 11.7477 and 11.7477 Å, with angles of 90.00, 90.00 and 90.00 degrees. The asymmetric unit holds K at (0.2500, 0.2500, 0.2500), Rb at (0.0000, 0.0000, 0.0000), Hf at (0.0000, 0.0000, 0.5000) and Br at (0.0000, 0.0000, 0.2734).

Record 5
## Er3Tm5Te (PBE-GGA)

Data for a relaxed structure of Er3Tm5Te.

For the total energy, the calculation gives -4.63 eV/atom. As for the mass density: 9.17 g/cm3.

The space group is P-62m (No. 189) and the conventional cell measures 9.0987, 9.0987 and 3.7241 Å, with angles of 90.00, 90.00 and 120.00 degrees. The asymmetric unit holds Er at (0.0000, 0.6152, 0.0000), Tm at (0.0000, 0.2757, 0.5000), Tm at (0.3333, 0.6667, 0.5000) and Te at (0.0000, 0.0000, 0.0000).

Record 6
## Y2Er3S7 (PBE-GGA)

Data for a relaxed structure of Y2Er3S7.

For the total energy, the calculation gives -6.70 eV/atom. The polymorph energy (0 for the lowest one) comes out at 0 meV/atom. As for the mass density: 5.56 g/cm3.

The space group is C2/m (No. 12) and the conventional cell measures 12.7345, 3.7902 and 11.5612 Å, with angles of 90.00, 104.52 and 90.00 degrees. The asymmetric unit holds Y at (0.1997, 0.0000, 0.3117), Er at (0.0000, 0.5000, 0.5000), Er at (0.1118, 0.5000, 0.9216), S at (0.0000, 0.0000, 0.0000), S at (0.0393, 0.5000, 0.2847), S at (0.1576, 0.0000, 0.5508) and S at (0.2401, 0.0000, 0.8543).